No. 1
VASP calculation (PBE) on crystalline PmTmTh2Te5 at its relaxed geometry.

Output
Its uncorrected energy is -0.3671 Ry per atom. As for the uncorrected formation energy: -576 meV/atom.

The structure in POSCAR format:
```
PmTmTh2Te5
1.0
5.3773 0.0000 0.0000
0.0000 5.3773 0.0000
0.0000 0.0000 11.7183
Te Pm Tm Th
5 1 1 2
direct
0.0000 0.0000 0.2508 Te
0.5000 0.0000 0.5000 Te
0.0000 0.0000 0.7492 Te
0.0000 0.5000 0.5000 Te
0.5000 0.5000 0.0000 Te
0.0000 0.0000 0.0000 Pm
0.0000 0.0000 0.5000 Tm
0.5000 0.5000 0.3398 Th
0.5000 0.5000 0.6602 Th
```

No. 2
VASP calculation (PBE) on crystalline PmY2Th3Te6 at its relaxed geometry.

Output
Its uncorrected energy is -0.4458 Ry per atom. As for the uncorrected formation energy: -1166 meV/atom.

The structure in POSCAR format:
```
PmY2Th3Te6
1.0
-0.0943 3.9439 1.7072
-8.8255 0.7902 -2.3127
0.8003 -5.8996 8.2614
Te Y Th Pm
6 2 3 1
direct
0.0048 0.2492 0.0097 Te
0.9952 0.7508 0.9903 Te
0.6671 0.0880 0.3342 Te
0.6696 0.5721 0.3392 Te
0.3329 0.9120 0.6658 Te
0.3304 0.4279 0.6608 Te
0.1665 0.3282 0.3329 Y
0.8335 0.6718 0.6671 Y
0.5000 0.5000 0.0000 Th
0.8370 0.1737 0.6739 Th
0.1630 0.8263 0.3261 Th
0.5000 0.0000 0.0000 Pm
```

No. 3
VASP calculation (PBE) on crystalline Pm2YTh3Te6 at its relaxed geometry.

Output
Its uncorrected energy is -0.4363 Ry per atom. As for the uncorrected formation energy: -1180 meV/atom.

The structure in POSCAR format:
```
Pm2YTh3Te6
1.0
-2.3088 3.6734 -0.2057
-7.6995 -4.8694 -0.5358
3.2052 -0.0117 9.6763
Te Pm Y Th
6 2 1 3
direct
0.6624 0.0844 0.3248 Te
0.6677 0.5809 0.3354 Te
0.0000 0.2414 0.9999 Te
0.3376 0.9156 0.6752 Te
0.3323 0.4191 0.6646 Te
0.0000 0.7586 0.0001 Te
0.1671 0.3340 0.3341 Pm
0.8329 0.6660 0.6659 Pm
0.5000 0.0000 0.0000 Y
0.5000 0.5000 0.0000 Th
0.8309 0.1644 0.6618 Th
0.1691 0.8356 0.3382 Th
```

No. 4
VASP calculation (PBE) on crystalline Pm3Y2ThTe6 at its relaxed geometry.

Output
Its uncorrected energy is -0.4233 Ry per atom. As for the uncorrected formation energy: -1305 meV/atom.

The structure in POSCAR format:
```
Pm3Y2ThTe6
1.0
4.4024 0.0000 0.0000
0.0000 8.9210 0.4530
-2.2012 -2.4257 9.3006
Te Th Pm Y
6 1 3 2
direct
0.6707 0.0939 0.3413 Te
0.3301 0.4184 0.6603 Te
0.6699 0.5816 0.3397 Te
0.0043 0.2555 0.0086 Te
0.3293 0.9061 0.6587 Te
0.9957 0.7445 0.9914 Te
0.5000 0.0000 0.0000 Th
0.5000 0.5000 0.0000 Pm
0.1598 0.8364 0.3195 Pm
0.8402 0.1636 0.6805 Pm
0.8354 0.6677 0.6707 Y
0.1646 0.3323 0.3293 Y
```

No. 5
VASP calculation (PBE) on crystalline PmTiTe2 at its relaxed geometry.

Output
Its uncorrected energy is -0.3865 Ry per atom. As for the uncorrected formation energy: -527 meV/atom.

The structure in POSCAR format:
```
PmTiTe2
1.0
3.8270 0.0000 0.0000
1.9135 3.3143 0.0000
1.9135 1.1048 9.7040
Ti Te Pm
1 2 1
direct
0.5000 0.5000 0.5000 Ti
0.8921 0.8921 0.3238 Te
0.1079 0.1079 0.6762 Te
0.0000 0.0000 0.0000 Pm
```

No. 6
VASP calculation (PBE) on crystalline PmTiTe3 at its relaxed geometry.

Output
Its uncorrected energy is -0.3882 Ry per atom. As for the uncorrected formation energy: -868 meV/atom.

The structure in POSCAR format:
```
PmTiTe3
1.0
-3.3223 -1.9551 2.2718
3.4905 -6.2453 -0.2702
7.1501 3.6003 9.1485
Ti Te Pm
2 6 2
direct
0.8860 0.9202 0.7720 Ti
0.1140 0.4202 0.2280 Ti
0.4363 0.7945 0.8725 Te
0.8940 0.2886 0.7880 Te
0.2187 0.2768 0.4374 Te
0.5637 0.2945 0.1275 Te
0.7813 0.7768 0.5626 Te
0.1060 0.7886 0.2120 Te
0.6669 0.0140 0.3339 Pm
0.3331 0.5140 0.6661 Pm
```

No. 7
VASP calculation (PBE) on crystalline Pm2TiTl3Te6 at its relaxed geometry.

Output
Its uncorrected energy is -0.3283 Ry per atom. As for the uncorrected formation energy: -854 meV/atom.

The structure in POSCAR format:
```
Pm2TiTl3Te6
1.0
7.6172 0.0034 -0.0042
-3.8038 6.5994 -0.0042
-1.2761 -2.2096 8.1644
Te Pm Tl Ti
6 2 3 1
direct
0.3765 0.0687 0.2085 Te
0.7646 0.7646 0.2174 Te
0.6235 0.9313 0.7915 Te
0.9313 0.6235 0.7915 Te
0.0687 0.3765 0.2085 Te
0.2354 0.2354 0.7826 Te
0.3353 0.6647 0.0000 Pm
0.6647 0.3353 0.0000 Pm
0.1756 0.8244 0.5000 Tl
0.5000 0.5000 0.5000 Tl
0.8244 0.1756 0.5000 Tl
0.0000 0.0000 0.0000 Ti
```

No. 8
VASP calculation (PBE) on crystalline Pm5TlTe5 at its relaxed geometry.

Output
Its uncorrected energy is -0.3718 Ry per atom. As for the uncorrected formation energy: -1257 meV/atom.

The structure in POSCAR format:
```
Pm5TlTe5
1.0
-5.9005 1.6376 1.6004
0.8003 -2.1075 -7.4081
-0.7993 -7.5088 4.7362
Pm Te Tl
5 5 1
direct
0.8359 0.6718 0.1699 Pm
0.5000 0.0000 0.0000 Pm
0.8349 0.6699 0.6659 Pm
0.1651 0.3301 0.3341 Pm
0.1641 0.3282 0.8301 Pm
0.0000 0.0000 0.5000 Te
0.6660 0.3319 0.8307 Te
0.6668 0.3335 0.3357 Te
0.3332 0.6665 0.6643 Te
0.3340 0.6681 0.1693 Te
0.0000 0.0000 0.0000 Tl
```

No. 9
VASP calculation (PBE) on crystalline Pm4Tl2Te at its relaxed geometry.

Output
Its uncorrected energy is -0.3287 Ry per atom. As for the uncorrected formation energy: -632 meV/atom.

The structure in POSCAR format:
```
Pm4Tl2Te
1.0
-7.9526 -0.6190 2.1205
4.5560 -4.8124 4.9187
2.4504 7.8420 0.7960
Pm Tl Te
8 4 2
direct
0.3785 0.4867 0.2536 Pm
0.5131 0.7666 0.8920 Pm
0.8714 0.6249 0.6079 Pm
0.8751 0.6216 0.1080 Pm
0.2332 0.1253 0.7465 Pm
0.7365 0.1284 0.7536 Pm
0.3755 0.9834 0.2466 Pm
0.0167 0.2632 0.3919 Pm
0.6251 0.2484 0.1232 Tl
0.7517 0.8749 0.3768 Tl
0.4983 0.3751 0.6232 Tl
0.1248 0.5016 0.8768 Tl
0.0001 0.9999 0.0000 Te
0.2500 0.7501 0.5001 Te
```

No. 10
VASP calculation (PBE) on crystalline Pm6Tl3Te at its relaxed geometry.

Output
Its uncorrected energy is -0.3126 Ry per atom. As for the uncorrected formation energy: -378 meV/atom.

The structure in POSCAR format:
```
Pm6Tl3Te
1.0
-5.4452 0.0424 5.2421
5.2295 -5.3583 5.4755
3.5932 7.7240 3.6701
Tl Pm Te
6 12 2
direct
0.9992 0.6891 0.9889 Tl
0.9455 0.4976 0.5024 Tl
0.4455 0.5024 0.4976 Tl
0.4992 0.3109 0.0111 Tl
0.9992 0.0111 0.3109 Tl
0.4992 0.9889 0.6891 Tl
0.0830 0.3221 0.1484 Pm
0.7027 0.5316 0.2109 Pm
0.7027 0.7891 0.4684 Pm
0.2027 0.2109 0.5316 Pm
0.7811 0.9897 0.0103 Pm
0.0830 0.8516 0.6779 Pm
0.2811 0.0103 0.9897 Pm
0.5830 0.6779 0.8516 Pm
0.2027 0.4684 0.7891 Pm
0.6801 0.3064 0.6936 Pm
0.5830 0.1484 0.3221 Pm
0.1801 0.6936 0.3064 Pm
0.5086 0.8246 0.1754 Te
0.0086 0.1754 0.8246 Te
```

No. 11
VASP calculation (PBE) on crystalline Pm3TlTe4 at its relaxed geometry.

Output
Its uncorrected energy is -0.3591 Ry per atom. As for the uncorrected formation energy: -1237 meV/atom.

The structure in POSCAR format:
```
Pm3TlTe4
1.0
4.4818 0.0000 0.0000
-2.2409 3.8814 0.0000
0.0000 0.0000 31.2470
Pm Te Tl
6 8 2
direct
0.3333 0.6667 0.8833 Pm
0.3333 0.6667 0.6167 Pm
0.0000 0.0000 0.0000 Pm
0.0000 0.0000 0.5000 Pm
0.6667 0.3333 0.3833 Pm
0.6667 0.3333 0.1167 Pm
0.0000 0.0000 0.8252 Te
0.3333 0.6667 0.0584 Te
0.6667 0.3333 0.9416 Te
0.6667 0.3333 0.5584 Te
0.0000 0.0000 0.3252 Te
0.0000 0.0000 0.6748 Te
0.0000 0.0000 0.1748 Te
0.3333 0.6667 0.4416 Te
0.3333 0.6667 0.2500 Tl
0.6667 0.3333 0.7500 Tl
```

No. 12
VASP calculation (PBE) on crystalline Pm2TlTe at its relaxed geometry.

Output
Its uncorrected energy is -0.3337 Ry per atom. As for the uncorrected formation energy: -787 meV/atom.

The structure in POSCAR format:
```
Pm2TlTe
1.0
-4.0324 -1.0429 -0.3505
-1.9696 -1.8352 3.1975
-4.2460 6.7082 3.9667
Pm Tl Te
2 1 1
direct
0.0777 0.0777 0.7668 Pm
0.2554 0.2554 0.2338 Pm
0.4993 0.4993 0.5022 Tl
0.6676 0.6676 0.9973 Te
```